Compound: Na3AsIr
Source: the Alexandria database
Functional: PBE
Structure: relaxed

Cell lengths 5.4570, 5.4570, 5.4570 Å; angles 90.00, 90.00, 90.00 degrees
Space group Pm-3m (No. 221)
Inequivalent atoms, fractional coordinates:
Na (0.0000, 0.0000, 0.5000)
As (0.5000, 0.5000, 0.5000)
Ir (0.0000, 0.0000, 0.0000)

formation energy: 0.908 eV per atom
magnetic moment: 3.00 μB per cell
E: -2.586 eV/atom